1.
## NaVZn2 (PBE)

Data for a geometry-optimized NaVZn2 structure. Values from VASP.

Computed properties:
formation energy from the elements	0.608	eV per atom
spin magnetization	3.12	μB per formula unit

Structure (Quantum ESPRESSO input):
```
&SYSTEM
  ibrav = 0, nat = 8, ntyp = 3
/
ATOMIC_SPECIES
Na 22.99 Na.upf
Zn 65.41 Zn.upf
V 50.94 V.upf
CELL_PARAMETERS angstrom
-5.7172 -4.4509 1.2858
4.1033 -5.8130 -1.8769
0.0408 -5.4241 2.4627
ATOMIC_POSITIONS crystal
Na 0.5000 0.5000 0.0000
Na 0.2500 0.7500 0.5000
Zn 0.6457 0.1250 0.2500
Zn 0.1043 0.6250 0.2500
Zn 0.3750 0.3543 0.7500
Zn 0.8750 0.8957 0.7500
V 0.0000 0.0000 0.0000
V 0.7500 0.2500 0.5000
```

2.
## Na3VZn (PBE)

Data for a geometry-optimized Na3VZn structure. Values from VASP.

Computed properties:
formation energy from the elements	0.883	eV per atom
spin magnetization	4.29	μB per formula unit

Structure (Quantum ESPRESSO input):
```
&SYSTEM
  ibrav = 0, nat = 5, ntyp = 3
/
ATOMIC_SPECIES
Na 22.99 Na.upf
Zn 65.41 Zn.upf
V 50.94 V.upf
CELL_PARAMETERS angstrom
-2.6651 2.8971 -3.7602
-4.7353 -1.9233 1.8744
-0.3309 4.1885 3.4616
ATOMIC_POSITIONS crystal
Na 0.0000 0.5000 0.0000
Na 0.0000 0.0000 0.5000
Na 0.5000 0.0000 0.0000
Zn 0.0000 0.0000 0.0000
V 0.5000 0.5000 0.5000
```

3.
## NaVZn2 (PBE)

Data for a geometry-optimized NaVZn2 structure. Values from VASP.

Computed properties:
formation energy from the elements	0.419	eV per atom
spin magnetization	3.18	μB per formula unit

Structure (Quantum ESPRESSO input):
```
&SYSTEM
  ibrav = 0, nat = 4, ntyp = 3
/
ATOMIC_SPECIES
Na 22.99 Na.upf
Zn 65.41 Zn.upf
V 50.94 V.upf
CELL_PARAMETERS angstrom
4.1623 1.9611 0.6277
0.4635 3.5791 2.9224
2.2495 -0.5638 4.0233
ATOMIC_POSITIONS crystal
Na 0.0000 0.0000 0.0000
Zn 0.2500 0.2500 0.2500
Zn 0.7500 0.7500 0.7500
V 0.5000 0.5000 0.5000
```

4.
## Na2VZn (PBE)

Data for a geometry-optimized Na2VZn structure. Values from VASP.

Computed properties:
formation energy from the elements	0.759	eV per atom
spin magnetization	4.08	μB per formula unit

Structure (Quantum ESPRESSO input):
```
&SYSTEM
  ibrav = 0, nat = 8, ntyp = 3
/
ATOMIC_SPECIES
Na 22.99 Na.upf
Zn 65.41 Zn.upf
V 50.94 V.upf
CELL_PARAMETERS angstrom
8.3420 0.0000 0.0000
0.0000 8.3420 0.0000
4.1710 4.1710 2.7876
ATOMIC_POSITIONS crystal
Na 0.6534 0.1250 0.2500
Na 0.0966 0.6250 0.2500
Na 0.3750 0.3466 0.7500
Na 0.8750 0.9034 0.7500
Zn 0.0000 0.0000 0.0000
Zn 0.7500 0.2500 0.5000
V 0.5000 0.5000 0.0000
V 0.2500 0.7500 0.5000
```

5.
## NaZrV2 (PBE)

Data for a geometry-optimized NaZrV2 structure. Values from VASP.

Computed properties:
formation energy from the elements	0.991	eV per atom
spin magnetization	0.00	μB per formula unit

Structure (Quantum ESPRESSO input):
```
&SYSTEM
  ibrav = 0, nat = 4, ntyp = 3
/
ATOMIC_SPECIES
Na 22.99 Na.upf
Zr 91.22 Zr.upf
V 50.94 V.upf
CELL_PARAMETERS angstrom
0.0000 3.3106 3.3106
3.3106 0.0000 3.3106
3.3106 3.3106 0.0000
ATOMIC_POSITIONS crystal
Na 0.0000 0.0000 0.0000
Zr 0.5000 0.5000 0.5000
V 0.2500 0.2500 0.2500
V 0.7500 0.7500 0.7500
```

6.
## NaZr3V (PBE)

Data for a geometry-optimized NaZr3V structure. Values from VASP.

Computed properties:
formation energy from the elements	0.725	eV per atom
spin magnetization	0.00	μB per formula unit

Structure (Quantum ESPRESSO input):
```
&SYSTEM
  ibrav = 0, nat = 5, ntyp = 3
/
ATOMIC_SPECIES
Na 22.99 Na.upf
Zr 91.22 Zr.upf
V 50.94 V.upf
CELL_PARAMETERS angstrom
5.0195 0.0000 0.0000
0.0000 5.0195 0.0000
0.0000 0.0000 5.0195
ATOMIC_POSITIONS crystal
Na 0.5000 0.5000 0.5000
Zr 0.0000 0.5000 0.0000
Zr 0.0000 0.0000 0.5000
Zr 0.5000 0.0000 0.0000
V 0.0000 0.0000 0.0000
```

7.
## NaZr2V (PBE)

Data for a geometry-optimized NaZr2V structure. Values from VASP.

Computed properties:
formation energy from the elements	0.560	eV per atom
spin magnetization	2.60	μB per formula unit

Structure (Quantum ESPRESSO input):
```
&SYSTEM
  ibrav = 0, nat = 4, ntyp = 3
/
ATOMIC_SPECIES
Na 22.99 Na.upf
Zr 91.22 Zr.upf
V 50.94 V.upf
CELL_PARAMETERS angstrom
3.1271 0.3202 3.7693
2.1009 4.3004 1.0872
-1.3042 2.4082 4.0729
ATOMIC_POSITIONS crystal
Na 0.0000 0.0000 0.0000
Zr 0.2500 0.2500 0.2500
Zr 0.7500 0.7500 0.7500
V 0.5000 0.5000 0.5000
```

8.
## NaZrV3 (PBE)

Data for a geometry-optimized NaZrV3 structure. Values from VASP.

Computed properties:
formation energy from the elements	1.626	eV per atom
spin magnetization	6.34	μB per formula unit

Structure (Quantum ESPRESSO input):
```
&SYSTEM
  ibrav = 0, nat = 5, ntyp = 3
/
ATOMIC_SPECIES
Na 22.99 Na.upf
Zr 91.22 Zr.upf
V 50.94 V.upf
CELL_PARAMETERS angstrom
-3.7366 -3.1617 -0.2308
3.0107 -3.6511 1.2715
-0.9924 0.8277 4.7267
ATOMIC_POSITIONS crystal
Na 0.5000 0.5000 0.5000
Zr 0.0000 0.0000 0.0000
V 0.0000 0.5000 0.0000
V 0.0000 0.0000 0.5000
V 0.5000 0.0000 0.0000
```

> Among the records above, which one has the lowest formation energy from the elements?

number 3